[1]
Material: SmHo3Pu2S6
Method: DFT, PBE
State: relaxed

Values from the calculation:
Formation energy without anion corrections ... -1.94 eV/atom
Symmetry ... No. 12
Total magnetic moment ... 0.958 μB per atom
Crystal system ... monoclinic
E_tot ... -7.931 eV per atom

abc: 6.7882 6.7882 6.8361
angles: 99.51 99.51 120.03
Atoms (fractional coordinates):
Sm 0.0000 0.0000 0.0000
Ho 0.1656 0.8344 0.5000
Ho 0.5000 0.5000 0.5000
Ho 0.8344 0.1656 0.5000
Pu 0.3332 0.6668 0.0000
Pu 0.6668 0.3332 0.0000
S 0.0860 0.4227 0.2576
S 0.2509 0.2509 0.7424
S 0.4227 0.0860 0.2576
S 0.5773 0.9140 0.7424
S 0.7491 0.7491 0.2576
S 0.9140 0.5773 0.7424



[2]
Material: Sm4HoPu3S8
Method: DFT, PBE
State: relaxed

Values from the calculation:
Formation energy without anion corrections ... -1.94 eV/atom
Symmetry ... No. 166
Total magnetic moment ... 1.056 μB per atom
Crystal system ... trigonal
E_tot ... -8.160 eV per atom

abc: 7.9601 7.9601 7.9601
angles: 59.73 59.73 59.73
Atoms (fractional coordinates):
Sm 0.0000 0.0000 0.0000
Sm 0.0000 0.5000 0.5000
Sm 0.5000 0.0000 0.5000
Sm 0.5000 0.5000 0.0000
Ho 0.5000 0.5000 0.5000
Pu 0.0000 0.0000 0.5000
Pu 0.0000 0.5000 0.0000
Pu 0.5000 0.0000 0.0000
S 0.2479 0.2479 0.2479
S 0.2502 0.7464 0.7464
S 0.2536 0.2536 0.7498
S 0.2536 0.7498 0.2536
S 0.7464 0.2502 0.7464
S 0.7464 0.7464 0.2502
S 0.7498 0.2536 0.2536
S 0.7521 0.7521 0.7521



[3]
Material: SrHoPu2S4
Method: DFT, PBE
State: relaxed

Values from the calculation:
Formation energy without anion corrections ... -1.84 eV/atom
Symmetry ... No. 10
Total magnetic moment ... 0.010 μB per atom
Crystal system ... monoclinic
E_tot ... -8.273 eV per atom

abc: 6.9362 4.0015 7.0125
angles: 90.00 109.54 90.00
Atoms (fractional coordinates):
Sr 0.0000 0.0000 0.0000
Ho 0.0000 0.5000 0.5000
Pu 0.5000 0.0000 0.5000
Pu 0.5000 0.5000 0.0000
S 0.2501 0.0000 0.7415
S 0.2573 0.5000 0.2649
S 0.7427 0.5000 0.7351
S 0.7499 0.0000 0.2585